VASP calculation (PBE-GGA) on a relaxed Ac2LuAl crystal.

Output
Spin magnetization, μB/f.u.: 0.0
DOS at the Fermi energy, states/eV per cell: 5.25
Crystal system: tetragonal
Energy above the lowest structure with this stoichiometry, meV/atom: 0
Total DFT energy (no corrections), eV per cell: -16.632
Formation enthalpy at 0 K, eV per atom: -0.038

Lattice parameters (Å, degrees): 4.0306 4.0306 8.3914 90.00 90.00 90.00
Last column: nearest neighbours and their distance in Å.
Space group P4/mmm (No. 123)
Symmetry-distinct sites (fractional):
Ac 0.0000 0.0000 0.2219 [2 per cell]  4 Al 3.40, 4 Lu 3.68, 1 Ac 3.72
Lu 0.5000 0.5000 0.5000 [1 per cell]  8 Ac 3.68, 4 Lu 4.03
Al 0.5000 0.5000 0.0000 [1 per cell]  8 Ac 3.40